(1)
# NaScSe2O6

A crystal of NaScSe2O6 relaxed with PBEsol (meta-GGA SCAN, Alexandria via LeMat-Bulk).

abc: 12.657 5.515 8.163
angles: 90.00 90.00 90.00
Atoms (fractional coordinates):
Na1 0.108 0.250 0.012
Na2 0.392 0.750 0.512
Na3 0.608 0.250 0.488
Na4 0.892 0.750 0.988
Sc1 0.099 0.750 0.702
Sc2 0.401 0.250 0.202
Sc3 0.599 0.750 0.798
Sc4 0.901 0.250 0.298
Se1 0.073 0.750 0.283
Se2 0.206 0.250 0.497
Se3 0.294 0.750 0.997
Se4 0.427 0.250 0.783
Se5 0.573 0.750 0.217
Se6 0.706 0.250 0.003
Se7 0.794 0.750 0.503
Se8 0.927 0.250 0.717
O1 0.005 0.512 0.197
O2 0.005 0.988 0.197
O3 0.024 0.750 0.478
O4 0.163 0.750 0.939
O5 0.211 0.006 0.628
O6 0.211 0.494 0.628
O7 0.289 0.506 0.128
O8 0.289 0.994 0.128
O9 0.337 0.250 0.439
O10 0.476 0.250 0.978
O11 0.495 0.012 0.697
O12 0.495 0.488 0.697
O13 0.505 0.512 0.303
O14 0.505 0.988 0.303
O15 0.524 0.750 0.022
O16 0.663 0.750 0.561
O17 0.711 0.006 0.872
O18 0.711 0.494 0.872
O19 0.789 0.506 0.372
O20 0.789 0.994 0.372
O21 0.837 0.250 0.061
O22 0.976 0.250 0.522
O23 0.995 0.012 0.803
O24 0.995 0.488 0.803

energy relative to the elements, uncorrected: -1.912 eV/atom
calculated total energy: -460.5 eV for the cell shown
SG: Pnma, No. 62
calculated volume: 569.8 Å³ per cell

=====

(2)
# LiAu2

A crystal of LiAu2 relaxed with PBEsol (meta-GGA SCAN, Alexandria via LeMat-Bulk).

abc: 12.481 12.481 12.481
angles: 161.91 161.91 25.69
Atoms (fractional coordinates):
Li1 0.294 0.544 0.750
Li2 0.456 0.706 0.750
Li3 0.544 0.294 0.250
Li4 0.706 0.456 0.250
Au1 0.039 0.789 0.250
Au2 0.123 0.373 0.750
Au3 0.211 0.961 0.250
Au4 0.373 0.123 0.250
Au5 0.627 0.877 0.750
Au6 0.789 0.039 0.750
Au7 0.877 0.627 0.250
Au8 0.961 0.211 0.750

E_form: -500 meV per atom
calculated total energy: -568.8 eV for the cell shown
SG: I4_1/amd, No. 141
calculated volume: 187.4 Å³ per cell

=====

(3)
# Zn8Si

A crystal of Zn8Si relaxed with PBEsol (meta-GGA SCAN, Alexandria via LeMat-Bulk).

abc: 6.111 6.111 6.111
angles: 95.59 95.59 143.63
Atoms (fractional coordinates):
Zn1 0.000 0.335 0.335
Zn2 0.000 0.665 0.665
Zn3 0.333 0.333 0.665
Zn4 0.333 0.667 0.000
Zn5 0.335 0.000 0.335
Zn6 0.665 0.000 0.665
Zn7 0.667 0.333 0.000
Zn8 0.667 0.667 0.335
Si1 0.000 0.000 0.000

energy relative to the elements, uncorrected: 0.122 eV/atom
calculated total energy: -117.0 eV for the cell shown
SG: I4/mmm, No. 139
calculated volume: 128.6 Å³ per cell

=====

(4)
# Bi3O4F

A crystal of Bi3O4F relaxed with PBEsol (meta-GGA SCAN, Alexandria via LeMat-Bulk).

abc: 3.925 3.925 8.594
angles: 97.95 97.95 89.89
Atoms (fractional coordinates):
Bi1 0.000 0.000 0.000
Bi2 0.392 0.392 0.695
Bi3 0.608 0.608 0.305
O1 0.048 0.550 0.175
O2 0.450 0.952 0.825
O3 0.550 0.048 0.175
O4 0.952 0.450 0.825
F1 0.000 0.000 0.500

energy relative to the elements, uncorrected: -1.337 eV/atom
calculated total energy: -274.9 eV for the cell shown
SG: C2/m, No. 12
calculated volume: 129.8 Å³ per cell

=====

(5)
# Fe3AsRu

A crystal of Fe3AsRu relaxed with PBEsol (meta-GGA SCAN, Alexandria via LeMat-Bulk).

abc: 4.439 4.439 4.439
angles: 90.00 90.00 90.00
Atoms (fractional coordinates):
Fe1 0.000 0.000 0.500
Fe2 0.000 0.500 0.000
Fe3 0.500 0.000 0.000
As1 0.500 0.500 0.500
Ru1 0.000 0.000 0.000

E_form: 1346 meV per atom
calculated total energy: -102.7 eV for the cell shown
SG: Pm-3m, No. 221
calculated volume: 87.5 Å³ per cell

=====

(6)
# AlSbCl3

A crystal of AlSbCl3 relaxed with PBEsol (meta-GGA SCAN, Alexandria via LeMat-Bulk).

abc: 4.789 4.789 4.789
angles: 90.00 90.00 90.00
Atoms (fractional coordinates):
Al1 0.000 0.000 0.000
Sb1 0.500 0.500 0.500
Cl1 0.000 0.000 0.500
Cl2 0.000 0.500 0.000
Cl3 0.500 0.000 0.000

energy relative to the elements, uncorrected: -0.386 eV/atom
calculated total energy: -70.9 eV for the cell shown
SG: Pm-3m, No. 221
calculated volume: 109.8 Å³ per cell

=====

(7)
# LiMgZn2

A crystal of LiMgZn2 relaxed with PBEsol (meta-GGA SCAN, Alexandria via LeMat-Bulk).

abc: 4.807 4.807 2.887
angles: 90.00 90.00 107.18
Atoms (fractional coordinates):
Li1 0.000 0.000 0.000
Mg1 0.500 0.500 0.000
Zn1 0.000 0.500 0.500
Zn2 0.500 0.000 0.500

E_form: -143 meV per atom
calculated total energy: -35.0 eV for the cell shown
SG: Cmmm, No. 65
calculated volume: 63.7 Å³ per cell

=====

(8)
# Ca2Ta

A crystal of Ca2Ta relaxed with PBEsol (meta-GGA SCAN, Alexandria via LeMat-Bulk).

abc: 8.396 8.396 8.396
angles: 158.40 158.40 30.73
Atoms (fractional coordinates):
Ca1 0.146 0.146 0.000
Ca2 0.854 0.854 0.000
Ta1 0.500 0.500 0.000

E_form: 745 meV per atom
calculated total energy: -83.7 eV for the cell shown
SG: I4/mmm, No. 139
calculated volume: 80.1 Å³ per cell

=====

(9)
# Al6Ru

A crystal of Al6Ru relaxed with PBEsol (meta-GGA SCAN, Alexandria via LeMat-Bulk).

abc: 4.955 4.955 8.938
angles: 90.00 90.00 82.53
Atoms (fractional coordinates):
Al1 0.021 0.618 0.250
Al2 0.143 0.857 0.598
Al3 0.143 0.857 0.902
Al4 0.319 0.319 0.000
Al5 0.319 0.319 0.500
Al6 0.382 0.979 0.250
Al7 0.618 0.021 0.750
Al8 0.681 0.681 0.000
Al9 0.681 0.681 0.500
Al10 0.857 0.143 0.098
Al11 0.857 0.143 0.402
Al12 0.979 0.382 0.750
Ru1 0.465 0.535 0.750
Ru2 0.535 0.465 0.250

E_form: -397 meV per atom
calculated total energy: -168.2 eV for the cell shown
SG: Cmcm, No. 63
calculated volume: 217.6 Å³ per cell

=====

(10)
# TlHg2Mo

A crystal of TlHg2Mo relaxed with PBEsol (meta-GGA SCAN, Alexandria via LeMat-Bulk).

abc: 4.942 4.942 4.942
angles: 60.00 60.00 60.00
Atoms (fractional coordinates):
Tl1 0.000 0.000 0.000
Hg1 0.250 0.250 0.250
Hg2 0.750 0.750 0.750
Mo1 0.500 0.500 0.500

E_form: 707 meV per atom
calculated total energy: -240.7 eV for the cell shown
SG: Fm-3m, No. 225
calculated volume: 85.4 Å³ per cell

=====

(11)
# CrTc2Ir

A crystal of CrTc2Ir relaxed with PBEsol (meta-GGA SCAN, Alexandria via LeMat-Bulk).

abc: 2.677 3.728 5.369
angles: 90.00 90.00 90.00
Atoms (fractional coordinates):
Cr1 0.000 0.000 0.000
Tc1 0.500 0.500 0.231
Tc2 0.500 0.500 0.769
Ir1 0.000 0.000 0.500

E_form: -54 meV per atom
calculated total energy: -159.8 eV for the cell shown
SG: Pmmm, No. 47
calculated volume: 53.6 Å³ per cell

=====

(12)
# Sc2CoHg

A crystal of Sc2CoHg relaxed with PBEsol (meta-GGA SCAN, Alexandria via LeMat-Bulk).

abc: 4.558 4.558 4.558
angles: 60.00 60.00 60.00
Atoms (fractional coordinates):
Sc1 0.000 0.000 0.000
Sc2 0.250 0.250 0.250
Co1 0.750 0.750 0.750
Hg1 0.500 0.500 0.500

E_form: -125 meV per atom
calculated total energy: -114.4 eV for the cell shown
SG: F-43m, No. 216
calculated volume: 67.0 Å³ per cell

=====

(13)
# SrYZr2

A crystal of SrYZr2 relaxed with PBEsol (meta-GGA SCAN, Alexandria via LeMat-Bulk).

abc: 6.696 6.696 6.696
angles: 151.26 127.51 60.94
Atoms (fractional coordinates):
Sr1 0.000 0.000 0.000
Y1 0.284 0.784 0.500
Zr1 0.531 0.531 0.000
Zr2 0.734 0.234 0.500

E_form: 469 meV per atom
calculated total energy: -109.6 eV for the cell shown
SG: Imm2, No. 44
calculated volume: 113.6 Å³ per cell

=====

(14)
# Ho2Re3Si5

A crystal of Ho2Re3Si5 relaxed with PBEsol (meta-GGA SCAN, Alexandria via LeMat-Bulk).

abc: 10.893 10.893 5.438
angles: 90.00 90.00 90.00
Atoms (fractional coordinates):
Ho1 0.078 0.237 0.000
Ho2 0.237 0.922 0.000
Ho3 0.263 0.422 0.500
Ho4 0.422 0.737 0.500
Ho5 0.578 0.263 0.500
Ho6 0.737 0.578 0.500
Ho7 0.763 0.078 0.000
Ho8 0.922 0.763 0.000
Re1 0.000 0.500 0.250
Re2 0.000 0.500 0.750
Re3 0.123 0.853 0.500
Re4 0.147 0.123 0.500
Re5 0.353 0.623 0.000
Re6 0.377 0.353 0.000
Re7 0.500 0.000 0.250
Re8 0.500 0.000 0.750
Re9 0.623 0.647 0.000
Re10 0.647 0.377 0.000
Re11 0.853 0.877 0.500
Re12 0.877 0.147 0.500
Si1 0.000 0.000 0.239
Si2 0.000 0.000 0.761
Si3 0.029 0.314 0.500
Si4 0.172 0.672 0.250
Si5 0.172 0.672 0.750
Si6 0.186 0.471 0.000
Si7 0.314 0.971 0.500
Si8 0.328 0.172 0.250
Si9 0.328 0.172 0.750
Si10 0.471 0.814 0.000
Si11 0.500 0.500 0.261
Si12 0.500 0.500 0.739
Si13 0.529 0.186 0.000
Si14 0.672 0.828 0.250
Si15 0.672 0.828 0.750
Si16 0.686 0.029 0.500
Si17 0.814 0.529 0.000
Si18 0.828 0.328 0.250
Si19 0.828 0.328 0.750
Si20 0.971 0.686 0.500

energy relative to the elements, uncorrected: -0.614 eV/atom
calculated total energy: -1470.0 eV for the cell shown
SG: P4/mnc, No. 128
calculated volume: 645.2 Å³ per cell

=====

(15)
# Tc2MoRu

A crystal of Tc2MoRu relaxed with PBEsol (meta-GGA SCAN, Alexandria via LeMat-Bulk).

abc: 3.101 3.101 5.954
angles: 90.00 90.00 90.00
Atoms (fractional coordinates):
Tc1 0.000 0.000 0.241
Tc2 0.000 0.000 0.759
Mo1 0.500 0.500 0.000
Ru1 0.500 0.500 0.500

E_form: 235 meV per atom
calculated total energy: -138.9 eV for the cell shown
SG: P4/mmm, No. 123
calculated volume: 57.3 Å³ per cell

=====

(16)
# CsTlPb

A crystal of CsTlPb relaxed with PBEsol (meta-GGA SCAN, Alexandria via LeMat-Bulk).

abc: 8.304 8.304 8.033
angles: 118.11 118.11 31.43
Atoms (fractional coordinates):
Cs1 0.000 0.000 0.000
Cs2 0.675 0.675 0.676
Tl1 0.334 0.334 0.127
Tl2 0.719 0.719 0.221
Pb1 0.340 0.340 0.537
Pb2 0.949 0.949 0.449

E_form: -296 meV per atom
calculated total energy: -373.7 eV for the cell shown
SG: Cm, No. 8
calculated volume: 251.9 Å³ per cell

=====

(17)
# TlCd3Pd

A crystal of TlCd3Pd relaxed with PBEsol (meta-GGA SCAN, Alexandria via LeMat-Bulk).

abc: 5.235 5.235 5.235
angles: 90.00 90.00 90.00
Atoms (fractional coordinates):
Tl1 0.000 0.000 0.000
Cd1 0.000 0.000 0.500
Cd2 0.000 0.500 0.000
Cd3 0.500 0.000 0.000
Pd1 0.500 0.500 0.500

E_form: 782 meV per atom
calculated total energy: -192.5 eV for the cell shown
SG: Pm-3m, No. 221
calculated volume: 143.5 Å³ per cell

=====

(18)
# TlCrGa2Te

A crystal of TlCrGa2Te relaxed with PBEsol (meta-GGA SCAN, Alexandria via LeMat-Bulk).

abc: 5.116 5.116 6.001
angles: 90.00 90.00 90.00
Atoms (fractional coordinates):
Tl1 0.000 0.000 0.000
Cr1 0.500 0.500 0.500
Ga1 0.000 0.500 0.000
Ga2 0.500 0.000 0.000
Te1 0.000 0.000 0.500

energy relative to the elements, uncorrected: 0.794 eV/atom
calculated total energy: -156.7 eV for the cell shown
SG: P4/mmm, No. 123
calculated volume: 157.1 Å³ per cell

=====

(19)
# MnAsPd3

A crystal of MnAsPd3 relaxed with PBEsol (meta-GGA SCAN, Alexandria via LeMat-Bulk).

abc: 4.543 4.543 4.543
angles: 90.00 90.00 90.00
Atoms (fractional coordinates):
Mn1 0.000 0.000 0.000
As1 0.500 0.500 0.500
Pd1 0.000 0.000 0.500
Pd2 0.000 0.500 0.000
Pd3 0.500 0.000 0.000

E_form: 695 meV per atom
calculated total energy: -133.3 eV for the cell shown
SG: Pm-3m, No. 221
calculated volume: 93.8 Å³ per cell

=====

(20)
# Mg2ZrSe

A crystal of Mg2ZrSe relaxed with PBEsol (meta-GGA SCAN, Alexandria via LeMat-Bulk).

abc: 5.212 5.212 5.407
angles: 113.13 113.13 38.65
Atoms (fractional coordinates):
Mg1 0.000 0.000 0.000
Mg2 0.222 0.222 0.782
Zr1 0.793 0.793 0.365
Se1 0.511 0.511 0.388

energy relative to the elements, uncorrected: -0.494 eV/atom
calculated total energy: -62.7 eV for the cell shown
SG: Cm, No. 8
calculated volume: 83.4 Å³ per cell

=====

(21)
# LiSc3N

A crystal of LiSc3N relaxed with PBEsol (meta-GGA SCAN, Alexandria via LeMat-Bulk).

abc: 4.438 4.438 4.438
angles: 90.00 90.00 90.00
Atoms (fractional coordinates):
Li1 0.000 0.000 0.000
Sc1 0.000 0.500 0.500
Sc2 0.500 0.000 0.500
Sc3 0.500 0.500 0.000
N1 0.500 0.500 0.500

energy relative to the elements, uncorrected: -0.766 eV/atom
calculated total energy: -58.2 eV for the cell shown
SG: Pm-3m, No. 221
calculated volume: 87.4 Å³ per cell

=====

(22)
# SrYSb

A crystal of SrYSb relaxed with PBEsol (meta-GGA SCAN, Alexandria via LeMat-Bulk).

abc: 4.338 4.338 7.125
angles: 90.00 90.00 120.00
Atoms (fractional coordinates):
Sr1 0.000 0.000 0.000
Y1 0.333 0.667 0.520
Sb1 0.667 0.333 0.297

energy relative to the elements, uncorrected: -0.665 eV/atom
calculated total energy: -89.4 eV for the cell shown
SG: P3m1, No. 156
calculated volume: 116.1 Å³ per cell

=====

(23)
# TaW

A crystal of TaW relaxed with PBEsol (meta-GGA SCAN, Alexandria via LeMat-Bulk).

abc: 2.788 2.788 4.504
angles: 90.00 90.00 109.80
Atoms (fractional coordinates):
Ta1 0.000 0.000 0.000
W1 0.500 0.500 0.500

E_form: -72 meV per atom
calculated total energy: -136.4 eV for the cell shown
SG: Cmmm, No. 65
calculated volume: 32.9 Å³ per cell

=====

(24)
# Zr4FeNi

A crystal of Zr4FeNi relaxed with PBEsol (meta-GGA SCAN, Alexandria via LeMat-Bulk).

abc: 5.200 5.200 5.200
angles: 105.63 105.63 117.46
Atoms (fractional coordinates):
Zr1 0.080 0.580 0.160
Zr2 0.420 0.920 0.840
Zr3 0.580 0.420 0.500
Zr4 0.920 0.080 0.500
Fe1 0.500 0.500 0.000
Ni1 0.000 0.000 0.000

E_form: -196 meV per atom
calculated total energy: -158.3 eV for the cell shown
SG: I422, No. 97
calculated volume: 106.7 Å³ per cell

=====

Number 1: total moment 0.0 μB/f.u.. Number 2: total moment 0.0 μB/f.u.. Number 3: total moment 0.0 μB/f.u.. Number 4: total moment 0.0 μB/f.u.. Number 5: total moment 10.3 μB/f.u.. Number 6: total moment 0.0 μB/f.u.. Number 7: total moment 0.0 μB/f.u.. Number 8: total moment 0.2 μB/f.u.. Number 9: total moment 0.0 μB/f.u.. Number 10: total moment 3.6 μB/f.u.. Number 11: total moment 0.0 μB/f.u.. Number 12: total moment 0.0 μB/f.u.. Number 13: total moment 0.0 μB/f.u.. Number 14: total moment 0.0 μB/f.u.. Number 15: total moment 0.0 μB/f.u.. Number 16: total moment 0.0 μB/f.u.. Number 17: total moment 0.0 μB/f.u.. Number 18: total moment 4.9 μB/f.u.. Number 19: total moment 4.5 μB/f.u.. Number 20: total moment 0.0 μB/f.u.. Number 21: total moment 1.5 μB/f.u.. Number 22: total moment 0.0 μB/f.u.. Number 23: total moment 0.0 μB/f.u.. Number 24: total moment 0.0 μB/f.u..